Record 1
# BiSBr2

A geometry-optimized BiSBr2 structure (PBE-GGA, Alexandria).

a b c (Å): 10.449 10.449 5.421
angles (deg): 90.00 90.00 90.00
Space group I-42d (No. 122)
Inequivalent atoms, fractional coordinates:
Bi: 0.000 0.000 0.000 [4 per cell]
S: 0.000 0.000 0.500 [4 per cell]
Br: 0.110 0.250 0.125 [8 per cell]

- formation energy without anion corrections (kcal/mol of atoms) = -2.32
- density of states at the Fermi level (states/eV/atom) = 0.715
- total magnetization (μB/f.u.) = 1.00
- mass density (g cm⁻³) = 4.50
- energy above the lowest structure with this stoichiometry (meV/atom) = 0

***

Record 2
# SiAgSN2

A geometry-optimized SiAgSN2 structure (PBE-GGA, Alexandria).

a b c (Å): 3.461 3.461 6.260
angles (deg): 90.00 90.00 90.00
Space group P4/mmm (No. 123)
Inequivalent atoms, fractional coordinates:
Si: 0.000 0.000 0.000 [1 per cell]
Ag: 0.500 0.500 0.500 [1 per cell]
S: 0.000 0.000 0.500 [1 per cell]
N: 0.000 0.500 0.000 [2 per cell]

- formation energy without anion corrections (kcal/mol of atoms) = 12.19
- density of states at the Fermi level (states/eV/atom) = 0.476
- total magnetization (μB/f.u.) = 0.00
- mass density (g cm⁻³) = 4.34
- energy above the lowest structure with this stoichiometry (meV/atom) = 0

***

Record 3
# KRe3Se

A geometry-optimized KRe3Se structure (PBE-GGA, Alexandria).

a b c (Å): 4.695 4.695 4.695
angles (deg): 90.00 90.00 90.00
Space group Pm-3m (No. 221)
Inequivalent atoms, fractional coordinates:
K: 0.000 0.000 0.000 [1 per cell]
Re: 0.000 0.500 0.500 [3 per cell]
Se: 0.500 0.500 0.500 [1 per cell]

- formation energy without anion corrections (kcal/mol of atoms) = 45.18
- density of states at the Fermi level (states/eV/atom) = 1.087
- total magnetization (μB/f.u.) = 1.32
- mass density (g cm⁻³) = 10.86
- energy above the lowest structure with this stoichiometry (meV/atom) = 0

***

Record 4
# NdNi4B4

A geometry-optimized NdNi4B4 structure (PBE-GGA, Alexandria).

a b c (Å): 7.240 7.240 3.737
angles (deg): 90.00 90.00 90.00
Space group P4_2/n (No. 86, origin choice 2)
Inequivalent atoms, fractional coordinates:
Nd: 0.250 0.250 0.250 [2 per cell]
Ni: 0.104 0.648 0.153 [8 per cell]
B: 0.042 0.919 0.153 [8 per cell]

- density of states at the Fermi level (states/eV/atom) = 0.431
- energy relative to the elements (eV per atom) = -0.39
- total magnetization (μB/f.u.) = 0.00
- mass density (g cm⁻³) = 7.16
- energy above the lowest structure with this stoichiometry (meV/atom) = 0

***

Record 5
# Pu3GePd3

A geometry-optimized Pu3GePd3 structure (PBE-GGA, Alexandria).

a b c (Å): 3.662 4.417 18.894
angles (deg): 90.00 90.00 90.00
Space group Imm2 (No. 44)
Inequivalent atoms, fractional coordinates:
Pu: 0.000 0.000 0.000 [2 per cell]
Pu: 0.000 0.000 0.385 [2 per cell]
Pu: 0.000 0.500 0.197 [2 per cell]
Ge: 0.000 0.500 0.626 [2 per cell]
Pd: 0.000 0.000 0.552 [2 per cell]
Pd: 0.000 0.000 0.843 [2 per cell]
Pd: 0.000 0.500 0.758 [2 per cell]

- density of states at the Fermi level (states/eV/atom) = 4.363
- energy relative to the elements (eV per atom) = -0.46
- total magnetization (μB/f.u.) = 16.59
- mass density (g cm⁻³) = 12.21

***

Record 6
# HfCrI3

A geometry-optimized HfCrI3 structure (PBE-GGA, Alexandria).

a b c (Å): 5.681 5.681 5.681
angles (deg): 90.00 90.00 90.00
Space group Pm-3m (No. 221)
Inequivalent atoms, fractional coordinates:
Hf: 0.000 0.000 0.000 [1 per cell]
Cr: 0.500 0.500 0.500 [1 per cell]
I: 0.000 0.000 0.500 [3 per cell]

- formation energy without anion corrections (kcal/mol of atoms) = 6.19
- density of states at the Fermi level (states/eV/atom) = 0.518
- total magnetization (μB/f.u.) = 5.96
- mass density (g cm⁻³) = 5.54
- energy above the lowest structure with this stoichiometry (meV/atom) = 0

***

Record 7
# In2NiHg

A geometry-optimized In2NiHg structure (PBE-GGA, Alexandria).

a b c (Å): 4.474 4.451 8.920
angles (deg): 90.00 97.45 90.00
Space group C2/m (No. 12)
Inequivalent atoms, fractional coordinates:
In: 0.053 0.000 0.181 [4 per cell]
Ni: 0.000 0.500 0.000 [2 per cell]
Hg: 0.000 0.000 0.500 [2 per cell]

- density of states at the Fermi level (states/eV/atom) = 0.429
- energy relative to the elements (eV per atom) = -0.03
- total magnetization (μB/f.u.) = 0.00
- mass density (g cm⁻³) = 9.22

***

Record 8
# CsFeSb2

A geometry-optimized CsFeSb2 structure (PBE-GGA, Alexandria).

a b c (Å): 7.751 7.751 7.751
angles (deg): 90.00 90.00 90.00
Space group Fm-3m (No. 225)
Inequivalent atoms, fractional coordinates:
Cs: 0.000 0.000 0.000 [4 per cell]
Fe: 0.000 0.000 0.500 [4 per cell]
Sb: 0.250 0.250 0.250 [8 per cell]

- formation energy without anion corrections (kcal/mol of atoms) = 17.31
- density of states at the Fermi level (states/eV/atom) = 0.802
- total magnetization (μB/f.u.) = 3.17
- mass density (g cm⁻³) = 6.17
- energy above the lowest structure with this stoichiometry (meV/atom) = 702

***

Question: Which formula does entry 8 have?
Answer: CsFeSb2